Density functional theory data (PBE) for a geometry-optimized HoBAsO structure.

Computed properties:
- E above lowest polymorph: 0.000 eV/atom
- Space-group type: P4/nmm

```
data_HoBAsO
_space_group_name_H-M_alt 'P 1'
_space_group_IT_number 1
_cell_length_a 3.993
_cell_length_b 3.993
_cell_length_c 7.173
_cell_angle_alpha 90.00
_cell_angle_beta 90.00
_cell_angle_gamma 90.00
loop_
_space_group_symop_operation_xyz
'x,y,z'
loop_
_atom_site_label
_atom_site_type_symbol
_atom_site_fract_x
_atom_site_fract_y
_atom_site_fract_z
Ho1 Ho 0.250 0.250 0.146
Ho2 Ho 0.750 0.750 0.854
B1 B 0.250 0.750 0.500
B2 B 0.750 0.250 0.500
As1 As 0.250 0.250 0.626
As2 As 0.750 0.750 0.374
O1 O 0.250 0.750 0.000
O2 O 0.750 0.250 0.000
```

=====

Density functional theory data (PBE) for a geometry-optimized Dy3S2Cl5 structure.

Computed properties:
- E_tot: -5.314 eV/atom
- Space-group type: Pnma

```
data_Dy3S2Cl5
_space_group_name_H-M_alt 'P 1'
_space_group_IT_number 1
_cell_length_a 6.785
_cell_length_b 21.709
_cell_length_c 6.368
_cell_angle_alpha 90.00
_cell_angle_beta 90.00
_cell_angle_gamma 90.00
loop_
_space_group_symop_operation_xyz
'x,y,z'
loop_
_atom_site_label
_atom_site_type_symbol
_atom_site_fract_x
_atom_site_fract_y
_atom_site_fract_z
Dy1 Dy 0.037 0.250 0.050
Dy2 Dy 0.120 0.098 0.452
Dy3 Dy 0.120 0.402 0.452
Dy4 Dy 0.380 0.598 0.952
Dy5 Dy 0.380 0.902 0.952
Dy6 Dy 0.463 0.750 0.550
Dy7 Dy 0.537 0.250 0.450
Dy8 Dy 0.620 0.098 0.048
Dy9 Dy 0.620 0.402 0.048
Dy10 Dy 0.880 0.598 0.548
Dy11 Dy 0.880 0.902 0.548
Dy12 Dy 0.963 0.750 0.950
S1 S 0.171 0.672 0.692
S2 S 0.171 0.828 0.692
S3 S 0.329 0.172 0.192
S4 S 0.329 0.328 0.192
S5 S 0.671 0.672 0.808
S6 S 0.671 0.828 0.808
S7 S 0.829 0.172 0.308
S8 S 0.829 0.328 0.308
Cl1 Cl 0.038 0.617 0.164
Cl2 Cl 0.038 0.883 0.164
Cl3 Cl 0.169 0.520 0.677
Cl4 Cl 0.169 0.980 0.677
Cl5 Cl 0.182 0.250 0.654
Cl6 Cl 0.318 0.750 0.154
Cl7 Cl 0.331 0.020 0.177
Cl8 Cl 0.331 0.480 0.177
Cl9 Cl 0.462 0.117 0.664
Cl10 Cl 0.462 0.383 0.664
Cl11 Cl 0.538 0.617 0.336
Cl12 Cl 0.538 0.883 0.336
Cl13 Cl 0.669 0.520 0.823
Cl14 Cl 0.669 0.980 0.823
Cl15 Cl 0.682 0.250 0.846
Cl16 Cl 0.818 0.750 0.346
Cl17 Cl 0.831 0.020 0.323
Cl18 Cl 0.831 0.480 0.323
Cl19 Cl 0.962 0.117 0.836
Cl20 Cl 0.962 0.383 0.836
```

=====

Density functional theory data (PBE) for a geometry-optimized PuUMo structure.

Computed properties:
- Calculated formation energy: 0.498 eV/atom
- E above lowest polymorph: 0.000 eV/atom
- Space-group type: F-43m

```
data_PuUMo
_space_group_name_H-M_alt 'P 1'
_space_group_IT_number 1
_cell_length_a 4.428
_cell_length_b 4.428
_cell_length_c 4.428
_cell_angle_alpha 60.00
_cell_angle_beta 60.00
_cell_angle_gamma 60.00
loop_
_space_group_symop_operation_xyz
'x,y,z'
loop_
_atom_site_label
_atom_site_type_symbol
_atom_site_fract_x
_atom_site_fract_y
_atom_site_fract_z
Pu1 Pu 0.000 0.000 0.000
U1 U 0.250 0.250 0.250
Mo1 Mo 0.750 0.750 0.750
```

=====

Density functional theory data (PBE) for a geometry-optimized GdMgZn structure.

Computed properties:
- E_tot: -2.601 eV/atom
- Space-group type: P1

```
data_GdMgZn
_space_group_name_H-M_alt 'P 1'
_space_group_IT_number 1
_cell_length_a 6.466
_cell_length_b 6.588
_cell_length_c 7.592
_cell_angle_alpha 82.40
_cell_angle_beta 84.20
_cell_angle_gamma 61.34
loop_
_space_group_symop_operation_xyz
'x,y,z'
loop_
_atom_site_label
_atom_site_type_symbol
_atom_site_fract_x
_atom_site_fract_y
_atom_site_fract_z
Gd1 Gd 0.000 0.000 0.000
Gd2 Gd 0.091 0.473 0.881
Gd3 Gd 0.323 0.792 0.579
Gd4 Gd 0.749 0.239 0.556
Mg1 Mg 0.288 0.528 0.250
Mg2 Mg 0.551 0.960 0.873
Mg3 Mg 0.706 0.601 0.198
Mg4 Mg 0.858 0.718 0.505
Zn1 Zn 0.132 0.183 0.267
Zn2 Zn 0.268 0.257 0.558
Zn3 Zn 0.556 0.485 0.909
Zn4 Zn 0.578 0.057 0.241
```